1.
Pr3MgCu8 (PBE, optimized geometry); space-group type = No. 160; density of states at the Fermi level = 8.60 states/eV/f.u.; DFT formation energy = -0.113 eV/atom; crystal system = trigonal
1.0
2.650 1.530 8.677
-2.650 1.530 8.677
0.000 -3.060 8.677
Pr Mg Cu
3 1 8
direct
0.000 0.000 0.000 Pr
0.125 0.125 0.125 Pr
0.510 0.510 0.510 Pr
0.633 0.633 0.633 Mg
0.060 0.567 0.567 Cu
0.073 0.073 0.561 Cu
0.073 0.561 0.073 Cu
0.316 0.316 0.316 Cu
0.561 0.073 0.073 Cu
0.567 0.060 0.567 Cu
0.567 0.567 0.060 Cu
0.817 0.817 0.817 Cu

=====

2.
Pr2MgCu2 (PBE, optimized geometry); space-group type = No. 127; density of states at the Fermi level = 5.28 states/eV/f.u.; DFT formation energy = -0.183 eV/atom; crystal system = tetragonal
1.0
7.854 0.000 0.000
0.000 7.854 0.000
0.000 0.000 3.891
Pr Mg Cu
4 2 4
direct
0.170 0.330 0.000 Pr
0.330 0.830 0.000 Pr
0.670 0.170 0.000 Pr
0.830 0.670 0.000 Pr
0.000 0.000 0.500 Mg
0.500 0.500 0.500 Mg
0.122 0.622 0.500 Cu
0.378 0.122 0.500 Cu
0.622 0.878 0.500 Cu
0.878 0.378 0.500 Cu

=====

3.
Pr5Mg4Cu (PBE, optimized geometry); space-group type = No. 123; density of states at the Fermi level = 10.27 states/eV/f.u.; DFT formation energy = -0.106 eV/atom; crystal system = tetragonal
1.0
3.830 0.000 0.000
0.000 3.830 0.000
0.000 0.000 19.466
Pr Mg Cu
5 4 1
direct
0.000 0.000 0.000 Pr
0.000 0.000 0.206 Pr
0.000 0.000 0.413 Pr
0.000 0.000 0.587 Pr
0.000 0.000 0.794 Pr
0.500 0.500 0.103 Mg
0.500 0.500 0.307 Mg
0.500 0.500 0.693 Mg
0.500 0.500 0.897 Mg
0.500 0.500 0.500 Cu

=====

4.
Pr2Mg3Cu2 (PBE, optimized geometry); space-group type = No. 12; density of states at the Fermi level = 5.02 states/eV/f.u.; DFT formation energy = -0.145 eV/atom; crystal system = monoclinic
1.0
10.140 0.000 0.000
0.000 4.451 0.000
-0.599 0.000 7.286
Pr Mg Cu
4 6 4
direct
0.131 0.000 0.350 Pr
0.369 0.500 0.650 Pr
0.631 0.500 0.350 Pr
0.869 0.000 0.650 Pr
0.000 0.500 0.000 Mg
0.176 0.000 0.861 Mg
0.324 0.500 0.139 Mg
0.500 0.000 0.000 Mg
0.676 0.500 0.861 Mg
0.824 0.000 0.139 Mg
0.075 0.500 0.646 Cu
0.425 0.000 0.354 Cu
0.575 0.000 0.646 Cu
0.925 0.500 0.354 Cu

=====

5.
Pr2Mg3Cu4 (PBE, optimized geometry); space-group type = No. 64; density of states at the Fermi level = 6.33 states/eV/f.u.; DFT formation energy = -0.092 eV/atom; crystal system = orthorhombic
1.0
2.998 -8.516 0.000
2.998 8.516 0.000
0.000 0.000 7.199
Pr Mg Cu
4 6 8
direct
0.101 0.899 0.908 Pr
0.399 0.601 0.408 Pr
0.601 0.399 0.592 Pr
0.899 0.101 0.092 Pr
0.000 0.000 0.500 Mg
0.014 0.486 0.750 Mg
0.486 0.014 0.250 Mg
0.500 0.500 0.000 Mg
0.514 0.986 0.750 Mg
0.986 0.514 0.250 Mg
0.158 0.842 0.504 Cu
0.176 0.324 0.750 Cu
0.324 0.176 0.250 Cu
0.342 0.658 0.004 Cu
0.658 0.342 0.996 Cu
0.676 0.824 0.750 Cu
0.824 0.676 0.250 Cu
0.842 0.158 0.496 Cu

=====

6.
Pr2MgCu3 (PBE, optimized geometry); space-group type = No. 69; density of states at the Fermi level = 4.71 states/eV/f.u.; DFT formation energy = -0.095 eV/atom; crystal system = orthorhombic
1.0
0.000 4.537 7.815
3.693 0.000 7.815
3.693 4.537 0.000
Pr Mg Cu
4 2 6
direct
0.243 0.757 0.757 Pr
0.250 0.250 0.250 Pr
0.750 0.750 0.750 Pr
0.757 0.243 0.243 Pr
0.333 0.333 0.667 Mg
0.667 0.667 0.333 Mg
0.163 0.163 0.837 Cu
0.164 0.673 0.327 Cu
0.327 0.836 0.164 Cu
0.673 0.164 0.836 Cu
0.836 0.327 0.673 Cu
0.837 0.837 0.163 Cu

=====

7.
Pr4Mg3Cu (PBE, optimized geometry); space-group type = No. 123; density of states at the Fermi level = 8.67 states/eV/f.u.; DFT formation energy = -0.102 eV/atom; crystal system = tetragonal
1.0
3.818 0.000 0.000
0.000 3.818 0.000
0.000 0.000 15.503
Pr Mg Cu
4 3 1
direct
0.000 0.000 0.109 Pr
0.000 0.000 0.370 Pr
0.000 0.000 0.630 Pr
0.000 0.000 0.891 Pr
0.500 0.500 0.243 Mg
0.500 0.500 0.500 Mg
0.500 0.500 0.757 Mg
0.500 0.500 0.000 Cu

=====

8.
Pr6Mg2Cu (PBE, optimized geometry); space-group type = No. 14; density of states at the Fermi level = 11.48 states/eV/f.u.; DFT formation energy = 0.062 eV/atom; crystal system = monoclinic
1.0
6.569 0.000 0.000
0.000 8.256 0.000
-4.216 0.000 10.500
Pr Mg Cu
12 4 2
direct
0.104 0.046 0.251 Pr
0.104 0.454 0.751 Pr
0.155 0.710 0.037 Pr
0.155 0.790 0.537 Pr
0.374 0.156 0.015 Pr
0.374 0.344 0.515 Pr
0.626 0.656 0.485 Pr
0.626 0.844 0.985 Pr
0.845 0.210 0.463 Pr
0.845 0.290 0.963 Pr
0.896 0.546 0.249 Pr
0.896 0.954 0.749 Pr
0.388 0.089 0.728 Mg
0.388 0.411 0.228 Mg
0.612 0.589 0.772 Mg
0.612 0.911 0.272 Mg
0.500 0.000 0.500 Cu
0.500 0.500 0.000 Cu